Entry 1:
Crystalline Li2Al8Ag3 at its relaxed geometry, computed with PBE.

Computed properties:
ΔH_f (0 K) = 4.8 meV/atom
symmetry = C2/m (12)
crystal system = monoclinic

a = 6.932 Å, b = 6.932 Å, c = 5.328 Å
α = 92.07°, β = 92.07°, γ = 62.77°
Positions (direct):
Li: 0.189 0.189 0.251
Li: 0.811 0.811 0.749
Al: 0.188 0.554 0.516
Al: 0.190 0.190 0.768
Al: 0.383 0.383 0.027
Al: 0.446 0.812 0.484
Al: 0.554 0.188 0.516
Al: 0.617 0.617 0.973
Al: 0.810 0.810 0.232
Al: 0.812 0.446 0.484
Ag: 0.000 0.000 0.500
Ag: 0.193 0.807 0.000
Ag: 0.807 0.193 0.000

***

Entry 2:
Crystalline BePtRh4 at its relaxed geometry, computed with PBE.

Computed properties:
ΔH_f (0 K) = 459.8 meV/atom
symmetry = F-43m (216)
crystal system = cubic

a = 5.051 Å, b = 5.051 Å, c = 5.051 Å
α = 60.00°, β = 60.00°, γ = 60.00°
Positions (direct):
Be: 0.000 0.000 0.000
Pt: 0.750 0.750 0.750
Rh: 0.375 0.375 0.375
Rh: 0.375 0.375 0.875
Rh: 0.375 0.875 0.375
Rh: 0.875 0.375 0.375

***

Entry 3:
Crystalline K2MgNi at its relaxed geometry, computed with PBE.

Computed properties:
ΔH_f (0 K) = 282.3 meV/atom
symmetry = Pm (6)
crystal system = monoclinic

a = 3.886 Å, b = 3.526 Å, c = 10.265 Å
α = 90.00°, β = 100.85°, γ = 90.00°
Positions (direct):
K: 0.000 0.000 0.000
K: 0.286 0.500 0.589
Mg: 0.642 0.000 0.304
Ni: 0.131 0.500 0.281

***

Entry 4:
Crystalline Tb5Nd3Dy3 at its relaxed geometry, computed with PBE.

Computed properties:
ΔH_f (0 K) = 795.5 meV/atom
symmetry = P-62m (189)
crystal system = hexagonal

a = 9.682 Å, b = 9.682 Å, c = 5.452 Å
α = 90.00°, β = 90.00°, γ = 120.00°
Positions (direct):
Tb: 0.000 0.733 0.000
Tb: 0.267 0.267 0.000
Tb: 0.333 0.667 0.000
Tb: 0.667 0.333 0.000
Tb: 0.733 0.000 0.000
Nd: 0.000 0.364 0.000
Nd: 0.364 0.000 0.000
Nd: 0.636 0.636 0.000
Dy: 0.000 0.544 0.500
Dy: 0.456 0.456 0.500
Dy: 0.544 0.000 0.500

***

> Look up the ΔH_f (0 K) of the second one.

459.8 meV/atom

***

> Which of these has the highest ΔH_f (0 K)?

Tb5Nd3Dy3

***

> The lowest ΔH_f (0 K) belongs to which entry?

Li2Al8Ag3

***

> Which value of ΔH_f (0 K) does entry 3 give?

282.3 meV/atom